CsCdGe3 (GGA-PBEsol, optimized geometry); calculated volume = 149.17 Å³/cell; raw total energy = -2.8079 eV per atom; size of the total moment = 0.000 μB per formula unit; E_form = 583 meV per atom; DOS(E_F) = 2.89 states/eV per cell; space group = Pm-3m, No. 221
1.0
5.303 0.000 0.000
0.000 5.303 0.000
0.000 0.000 5.303
Cs Cd Ge
1 1 3
Direct
0.000 0.000 0.000 Cs
0.500 0.500 0.500 Cd
0.000 0.500 0.500 Ge
0.500 0.000 0.500 Ge
0.500 0.500 0.000 Ge

AlRu (GGA-PBEsol, optimized geometry); calculated volume = 55.01 Å³/cell; raw total energy = -7.2709 eV per atom; size of the total moment = 0.000 μB per formula unit; E_form = -139 meV per atom; DOS(E_F) = 4.52 states/eV per cell; space group = Fd-3m, No. 227
1.0
0.000 3.019 3.019
3.019 0.000 3.019
3.019 3.019 0.000
Al Ru
2 2
Direct
0.125 0.125 0.125 Al
0.875 0.875 0.875 Al
0.375 0.375 0.375 Ru
0.625 0.625 0.625 Ru

BeInAg (GGA-PBEsol, optimized geometry); calculated volume = 56.01 Å³/cell; raw total energy = -3.0527 eV per atom; size of the total moment = 0.000 μB per formula unit; E_form = 379 meV per atom; DOS(E_F) = 1.14 states/eV per cell; space group = F-43m, No. 216
1.0
0.000 3.037 3.037
3.037 0.000 3.037
3.037 3.037 0.000
Be In Ag
1 1 1
Direct
0.000 0.000 0.000 Be
0.500 0.500 0.500 In
0.250 0.250 0.250 Ag

CaTaPb2 (GGA-PBEsol, optimized geometry); calculated volume = 101.86 Å³/cell; raw total energy = -5.2769 eV per atom; size of the total moment = 0.000 μB per formula unit; E_form = 393 meV per atom; DOS(E_F) = 3.93 states/eV per cell; space group = P4mm, No. 99
1.0
3.171 0.000 0.000
0.000 3.171 0.000
0.000 0.000 10.127
Ca Ta Pb
1 1 2
Direct
0.000 0.000 0.000 Ca
0.500 0.500 0.233 Ta
0.000 0.000 0.452 Pb
0.500 0.500 0.736 Pb

InHg2 (GGA-PBEsol, optimized geometry); calculated volume = 143.62 Å³/cell; raw total energy = -1.3809 eV per atom; size of the total moment = 0.000 μB per formula unit; E_form = -9 meV per atom; DOS(E_F) = 2.08 states/eV per cell; space group = Cm, No. 8
1.0
6.194 -1.617 0.000
6.194 1.617 0.000
-1.954 0.000 7.170
In Hg
2 4
Direct
0.000 0.000 0.000 In
0.679 0.679 0.346 In
0.063 0.063 0.620 Hg
0.339 0.339 0.675 Hg
0.400 0.400 0.290 Hg
0.727 0.727 0.954 Hg

Mg4ScMo (GGA-PBEsol, optimized geometry); calculated volume = 120.65 Å³/cell; raw total energy = -3.7857 eV per atom; size of the total moment = 2.720 μB per formula unit; E_form = 421 meV per atom; DOS(E_F) = 5.89 states/eV per cell; space group = F-43m, No. 216
1.0
0.000 3.922 3.922
3.922 0.000 3.922
3.922 3.922 0.000
Mg Sc Mo
4 1 1
Direct
0.376 0.376 0.376 Mg
0.376 0.376 0.873 Mg
0.376 0.873 0.376 Mg
0.873 0.376 0.376 Mg
0.000 0.000 0.000 Sc
0.750 0.750 0.750 Mo

| no. | ρ (g cm⁻³) |
| --- | --- |
| 1 | 5.2 |
| 2 | 7.7 |
| 3 | 6.9 |
| 4 | 10.4 |
| 5 | 11.9 |
| 6 | 3.3 |